KHoIrO6 | PBE-GGA | optimized geometry

```
KHoIrO6
1.0
5.603 0.000 0.000
-2.801 4.852 0.000
0.000 0.000 5.820
K Ho Ir O
1 1 1 6
Direct
0.000 0.000 0.000 K
0.333 0.667 0.500 Ho
0.667 0.333 0.500 Ir
0.401 0.045 0.687 O
0.401 0.356 0.313 O
0.644 0.045 0.313 O
0.644 0.599 0.687 O
0.955 0.356 0.687 O
0.955 0.599 0.313 O
```

## Properties
- total magnetic moment (μB per cell) = 0.66
- D(E_F) (states/eV/cell) = 5.35
- ΔE_f (raw) (meV/atom) = -1470.8

***

K2Ho2IrO6 | PBE-GGA | optimized geometry

```
K2Ho2IrO6
1.0
2.886 -4.952 0.000
2.886 4.952 0.000
-1.746 0.000 6.344
K Ho Ir O
2 2 1 6
Direct
0.161 0.839 0.000 K
0.839 0.161 0.000 K
0.336 0.664 0.500 Ho
0.664 0.336 0.500 Ho
0.000 0.000 0.500 Ir
0.049 0.362 0.673 O
0.253 0.253 0.323 O
0.362 0.049 0.673 O
0.638 0.951 0.327 O
0.747 0.747 0.677 O
0.951 0.638 0.327 O
```

## Properties
- total magnetic moment (μB per cell) = 1.05
- D(E_F) (states/eV/cell) = 7.66
- ΔE_f (raw) (meV/atom) = -2179.2

***

K2HoIrO6 | PBE-GGA | optimized geometry

```
K2HoIrO6
1.0
0.000 4.150 4.150
4.150 0.000 4.150
4.150 4.150 0.000
K Ho Ir O
2 1 1 6
Direct
0.250 0.250 0.250 K
0.750 0.750 0.750 K
0.000 0.000 0.000 Ho
0.500 0.500 0.500 Ir
0.269 0.269 0.731 O
0.269 0.731 0.269 O
0.269 0.731 0.731 O
0.731 0.269 0.269 O
0.731 0.269 0.731 O
0.731 0.731 0.269 O
```

## Properties
- total magnetic moment (μB per cell) = 0.00
- D(E_F) (states/eV/cell) = 5.55
- ΔE_f (raw) (meV/atom) = -1721.2

***

LaHoIr | PBE-GGA | optimized geometry

```
LaHoIr
1.0
4.863 0.000 0.000
0.000 4.803 0.000
-1.572 0.000 6.981
La Ho Ir
2 2 2
Direct
0.233 0.250 0.405 La
0.767 0.750 0.595 La
0.270 0.750 0.014 Ho
0.730 0.250 0.986 Ho
0.140 0.250 0.775 Ir
0.860 0.750 0.225 Ir
```

## Properties
- offset from the most stable computed form (eV/atom) = 0.000
- total magnetic moment (μB per cell) = 0.00
- D(E_F) (states/eV/cell) = 4.13
- DFT formation energy (kJ per mole of atoms) = -64.6

***

LaHoIr | PBE-GGA | optimized geometry

```
LaHoIr
1.0
3.542 0.000 0.000
0.000 3.542 0.000
0.000 0.000 13.107
La Ho Ir
2 2 2
Direct
0.000 0.000 0.000 La
0.500 0.500 0.500 La
0.000 0.000 0.749 Ho
0.500 0.500 0.249 Ho
0.000 0.000 0.364 Ir
0.500 0.500 0.864 Ir
```

## Properties
- offset from the most stable computed form (eV/atom) = 0.153
- total magnetic moment (μB per cell) = 0.00
- D(E_F) (states/eV/cell) = 7.42
- DFT formation energy (kJ per mole of atoms) = -49.9

***

LaHoIr | PBE-GGA | optimized geometry

```
LaHoIr
1.0
4.182 0.000 0.000
-2.091 3.622 0.000
0.000 0.000 6.335
La Ho Ir
1 1 1
Direct
0.000 0.000 0.000 La
0.667 0.333 0.545 Ho
0.333 0.667 0.761 Ir
```

## Properties
- offset from the most stable computed form (eV/atom) = 0.089
- total magnetic moment (μB per cell) = 0.00
- D(E_F) (states/eV/cell) = 2.07
- DFT formation energy (kJ per mole of atoms) = -56.0